This record from the Alexandria database describes a relaxed structure of Fe5Co. The functional is GGA-PBEsol.

Calculated values
magnetization: 13.464 μB per cell
energy of formation: 18 meV per atom
space-group type: P4/mmm

Cell lengths 2.7863, 2.7863, 8.4308 Å; angles 90.00, 90.00, 90.00 degrees
Last column: nearest neighbours and their distance in Å.
Fractional coordinates of all 6 atoms:
Fe1 0.0000 0.0000 0.0000  8 Fe 2.42
Fe2 0.0000 0.0000 0.3339  4 Co 2.42, 4 Fe 2.43
Fe3 0.0000 0.0000 0.6661  4 Co 2.42, 4 Fe 2.43
Fe4 0.5000 0.5000 0.1658  8 Fe 2.42-2.43
Fe5 0.5000 0.5000 0.8342  8 Fe 2.42-2.43
Co1 0.5000 0.5000 0.5000  8 Fe 2.42